# 1
# Tb2Pr2YTm2, optimized geometry, DFT PBE
data_Tb2Pr2YTm2
_space_group_name_H-M_alt 'C 1 2/m 1'
_space_group_IT_number 12
_space_group_name_Hall '-C 2y'
_cell_length_a 17.784
_cell_length_b 3.500
_cell_length_c 8.488
_cell_angle_alpha 90.00
_cell_angle_beta 117.00
_cell_angle_gamma 90.00
loop_
_atom_site_label
_atom_site_type_symbol
_atom_site_fract_x
_atom_site_fract_y
_atom_site_fract_z
_atom_site_occupancy
Tb1 Tb 0.210 0.000 0.299 1
Pr1 Pr 0.148 0.500 0.882 1
Y1 Y 0.000 0.000 0.000 1
Tm1 Tm 0.070 0.500 0.406 1
# ΔE_f   154 meV per atom
# Density   7.241 g/cm³
# Size of the total moment   0.00 μB per cell
# N(E_F)   12.55 states/eV/f.u.

***

# 2
# TbPrYTm, optimized geometry, DFT PBE
data_TbPrYTm
_space_group_name_H-M_alt 'F -4 3 m'
_space_group_IT_number 216
_space_group_name_Hall 'F -4 2 3'
_cell_length_a 8.081
_cell_length_b 8.081
_cell_length_c 8.081
_cell_angle_alpha 90.00
_cell_angle_beta 90.00
_cell_angle_gamma 90.00
loop_
_atom_site_label
_atom_site_type_symbol
_atom_site_fract_x
_atom_site_fract_y
_atom_site_fract_z
_atom_site_occupancy
Tb1 Tb 0.000 0.000 0.000 1
Pr1 Pr 0.250 0.250 0.250 1
Y1 Y 0.250 0.250 0.750 1
Tm1 Tm 0.000 0.000 0.500 1
# Distance to the lowest polymorph of the same formula   0.004 eV per atom
# ΔE_f   126 meV per atom
# Density   7.020 g/cm³
# Size of the total moment   0.00 μB per cell
# N(E_F)   7.84 states/eV/f.u.

***

# 3
# TbPr2Y4Tm2, optimized geometry, DFT PBE
data_TbPr2Y4Tm2
_space_group_name_H-M_alt 'P -1'
_space_group_IT_number 2
_space_group_name_Hall '-P 1'
_cell_length_a 6.198
_cell_length_b 6.208
_cell_length_c 8.011
_cell_angle_alpha 82.55
_cell_angle_beta 75.16
_cell_angle_gamma 80.39
loop_
_atom_site_label
_atom_site_type_symbol
_atom_site_fract_x
_atom_site_fract_y
_atom_site_fract_z
_atom_site_occupancy
Tb1 Tb 0.000 0.000 0.000 1
Pr1 Pr 0.330 0.669 0.666 1
Y1 Y 0.223 0.446 0.112 1
Y2 Y 0.444 0.890 0.222 1
Tm1 Tm 0.109 0.223 0.556 1
# ΔE_f   21 meV per atom
# Density   6.439 g/cm³
# Size of the total moment   0.00 μB per cell
# N(E_F)   12.48 states/eV/f.u.

***

# 4
# TbPr2Y6Tm3, optimized geometry, DFT PBE
data_TbPr2Y6Tm3
_space_group_name_H-M_alt 'C 1 2/m 1'
_space_group_IT_number 12
_space_group_name_Hall '-C 2y'
_cell_length_a 6.197
_cell_length_b 10.725
_cell_length_c 11.830
_cell_angle_alpha 90.00
_cell_angle_beta 100.03
_cell_angle_gamma 90.00
loop_
_atom_site_label
_atom_site_type_symbol
_atom_site_fract_x
_atom_site_fract_y
_atom_site_fract_z
_atom_site_occupancy
Tb1 Tb 0.000 0.000 0.000 1
Pr1 Pr 0.000 0.333 0.000 1
Y1 Y 0.247 0.000 0.746 1
Y2 Y 0.249 0.334 0.746 1
Tm1 Tm 0.000 0.166 0.500 1
Tm2 Tm 0.000 0.500 0.500 1
# ΔE_f   24 meV per atom
# Density   6.353 g/cm³
# Size of the total moment   0.00 μB per cell
# N(E_F)   17.70 states/eV/f.u.

***

- Which of these has the lowest ΔE_f?
  TbPr2Y4Tm2